1.
This record from Alexandria via LeMat-Bulk describes a relaxed Rb3LiNi2Cl8 crystal. The functional is PBE.

abc: 7.0499 7.0499 9.2957
angles: 90.00 90.00 120.00
Space group P-3m1 (No. 164)
Asymmetric unit:
Rb 0.0000 0.0000 0.0000 [1 per cell]
Rb 0.3333 0.6667 0.6300 [2 per cell]
Li 0.0000 0.0000 0.5000 [1 per cell]
Ni 0.3333 0.6667 0.2146 [2 per cell]
Cl 0.1678 0.3355 0.3249 [6 per cell]
Cl 0.3333 0.6667 0.9783 [2 per cell]

Values from the calculation:
**M_tot**: 4.0 μB per cell
**Formation energy without anion corrections**: -1.295 eV per atom

2.
This record from Alexandria via LeMat-Bulk describes a relaxed TmCdHgBi crystal. The functional is PBE.

abc: 7.519 7.519 7.519
angles: 90.00 90.00 90.00
Space group F-43m (No. 216)
Asymmetric unit:
Tm 0.000 0.000 0.000 [4 per cell]
Cd 0.000 0.000 0.500 [4 per cell]
Hg 0.250 0.250 0.750 [4 per cell]
Bi 0.250 0.250 0.250 [4 per cell]

Values from the calculation:
**Calculated formation energy**: -0.8 eV/f.u.
**M_tot**: 0.0 μB per cell

3.
This record from Alexandria via LeMat-Bulk describes a relaxed LiY2Sc crystal. The functional is PBE.

abc: 7.674 7.690 3.685
angles: 90.00 90.00 90.00
Space group Cmmm (No. 65)
Asymmetric unit:
Li 0.000 0.000 0.000 [2 per cell]
Y 0.250 0.250 0.500 [4 per cell]
Sc 0.000 0.500 0.000 [2 per cell]

Values from the calculation:
**Calculated formation energy**: 0.5 eV/f.u.
**M_tot**: 0.0 μB per cell
**Offset from the most stable computed form**: 37.7 meV/atom

4.
This record from Alexandria via LeMat-Bulk describes a relaxed Mn4Zn2Ga5 crystal. The functional is PBE.

abc: 4.761 4.831 7.096
angles: 83.04 78.62 77.39
Space group P-1 (No. 2)
Asymmetric unit:
Mn 0.028 0.419 0.318 [2 per cell]
Mn 0.327 0.860 0.228 [2 per cell]
Zn 0.423 0.682 0.858 [2 per cell]
Ga 0.136 0.226 0.964 [2 per cell]
Ga 0.207 0.057 0.587 [2 per cell]
Ga 0.500 0.500 0.500 [1 per cell]

Values from the calculation:
**Calculated formation energy**: -0.1 eV/f.u.
**M_tot**: 10.1 μB per cell

5.
This record from Alexandria via LeMat-Bulk describes a relaxed TeHPd2Rh crystal. The functional is PBE.

abc: 4.078 4.078 4.188
angles: 90.00 90.00 90.00
Space group P4/mmm (No. 123)
Asymmetric unit:
Te 0.000 0.000 0.000 [1 per cell]
H 0.500 0.500 0.500 [1 per cell]
Pd 0.000 0.500 0.500 [2 per cell]
Rh 0.500 0.500 0.000 [1 per cell]

Values from the calculation:
**M_tot**: 0.0 μB per cell

6.
This record from Alexandria via LeMat-Bulk describes a relaxed Hf6CuN2 crystal. The functional is PBE.

abc: 5.9002 5.9002 15.4685
angles: 90.00 90.00 120.00
Space group R3 (No. 146, hexagonal axes)
Asymmetric unit:
Hf 0.0028 0.4009 0.0000 [9 per cell]
Hf 0.0027 0.6838 0.5018 [9 per cell]
Cu 0.0000 0.0000 0.0426 [3 per cell]
N 0.0000 0.0000 0.4158 [3 per cell]
N 0.0000 0.0000 0.5873 [3 per cell]

Values from the calculation:
**M_tot**: 0.0 μB per cell
**Formation energy without anion corrections**: -0.698 eV per atom

Respective VASP energy values: -0.1294 -0.0954 -0.1903 -0.1821 -0.1805 -0.3542 Ha/atom.
Respective DOS at the Fermi energy values: 4.94 2.43 4.98 6.10 5.45 5.82 states/eV/f.u..